# TlCuAsI6 (PBE, relaxed)
data_TlCuAsI6
_space_group_name_H-M_alt 'P 1'
_space_group_IT_number 1
_space_group_name_Hall 'P 1'
_cell_length_a 7.953
_cell_length_b 7.312
_cell_length_c 7.605
_cell_angle_alpha 86.00
_cell_angle_beta 82.78
_cell_angle_gamma 56.83
loop_
_atom_site_label
_atom_site_fract_x
_atom_site_fract_y
_atom_site_fract_z
_atom_site_occupancy
I1 0.368 0.035 0.721 1
I2 0.392 0.619 0.322 1
I3 0.602 0.015 0.256 1
I4 0.984 0.649 0.673 1
I5 0.652 0.373 0.768 1
I6 0.006 0.357 0.266 1
As1 0.671 0.648 0.518 1
Tl1 0.027 0.969 0.015 1
Cu1 0.296 0.334 0.461 1
# - Electronic total energy: -22.26 eV for the cell shown
# - Crystal system: triclinic
# - Space group: No. 1
# - Volume: 40.80 A^3/atom
# - ΔE_f (raw): -0.21 eV/atom
# - M_tot: 0.76 Bohr magnetons per cell
# - D(E_F): 3.7 states/eV/f.u.